## Tb2PdS (PBE-GGA)

Data for a relaxed Tb2PdS crystal.

The space group is Cmcm (No. 63) and the conventional cell measures 3.868, 22.944 and 4.031 Å, with angles of 90.00, 90.00 and 90.00 degrees. The inequivalent atoms are Tb at (0.000, 0.070, 0.250), Tb at (0.000, 0.312, 0.250), Pd at (0.000, 0.455, 0.250) and S at (0.000, 0.192, 0.250).

Its volume is 358 Å³/cell. Its total energy is -6.09 eV/atom. The value obtained for the relative energy among the computed polymorphs is 0.0 meV/atom.